Density functional theory data (PBE) for DyYTlPt after structural relaxation.

Geometry as POSCAR:
```
DyYTlPt
1.0
-4.006 1.947 2.593
-4.629 0.292 -2.248
-3.817 -3.097 1.550
Y Tl Pt Dy
1 1 1 1
Direct
0.500 0.500 0.500
0.250 0.250 0.250
0.750 0.750 0.750
0.000 0.000 0.000
```

The value obtained for the total energy is -5.569 eV per atom. The formation energy comes out at -0.7003 eV/atom. The calculation puts the density of states at the Fermi level at 3.66 states/eV per cell. As for the total magnetization: 0.00 μB per cell.


Density functional theory data (PBE) for HoTm4Zn after structural relaxation.

Geometry as POSCAR:
```
HoTm4Zn
1.0
6.083 -0.622 0.000
-2.496 8.512 0.000
-1.793 -3.945 6.694
Ho Tm Zn
2 8 2
Direct
0.345 0.595 0.190
0.655 0.405 0.810
0.037 0.162 0.772
0.761 0.714 0.634
0.234 0.610 0.772
0.372 0.919 0.634
0.628 0.081 0.366
0.766 0.390 0.228
0.239 0.286 0.366
0.963 0.838 0.228
0.250 0.000 0.000
0.750 0.000 0.000
```

The value obtained for the total energy is -3.951 eV per atom. The formation energy comes out at 0.0051 eV/atom. The calculation puts the density of states at the Fermi level at 15.87 states/eV per cell. As for the total magnetization: 0.00 μB per cell.


Density functional theory data (PBE) for PdSO2F after structural relaxation.

Geometry as POSCAR:
```
PdSO2F
1.0
-3.680 -1.139 -1.090
1.317 -0.701 -3.715
0.884 -3.853 1.040
S O Pd F
1 2 1 1
Direct
0.500 0.500 0.500
0.000 0.500 0.000
0.500 0.000 0.000
0.000 0.000 0.000
0.000 0.000 0.500
```

The value obtained for the total energy is -3.882 eV per atom. For the formation energy from raw total energies, the calculation gives 0.34 eV/atom. The calculation puts the density of states at the Fermi level at 4.56 states/eV per cell. As for the total magnetization: 1.23 μB per cell.


Density functional theory data (PBE) for Pr2HoN3 after structural relaxation.

Geometry as POSCAR:
```
Pr2HoN3
1.0
3.531 0.000 -0.804
-0.183 3.526 -0.805
-0.012 -0.012 8.098
Pr Ho N
2 1 3
Direct
0.097 0.099 0.199
0.772 0.774 0.549
0.434 0.436 0.874
0.934 0.936 0.874
0.276 0.277 0.558
0.593 0.593 0.190
```

The value obtained for the total energy is -7.915 eV per atom. For the formation energy from raw total energies, the calculation gives -1.40 eV/atom. The calculation puts the density of states at the Fermi level at 0.72 states/eV per cell. As for the total magnetization: 0.00 μB per cell.


Density functional theory data (PBE) for CaCeGa2Pd5 after structural relaxation.

Geometry as POSCAR:
```
CaCeGa2Pd5
1.0
-0.241 -2.251 -3.566
0.055 -3.573 2.251
-9.392 0.183 0.521
Ca Ce Ga Pd
1 1 2 5
Direct
0.000 0.000 0.000
0.000 0.000 0.500
0.500 0.500 0.136
0.500 0.500 0.864
0.000 0.500 0.281
0.500 0.000 0.281
0.000 0.500 0.719
0.500 0.000 0.719
0.500 0.500 0.500
```

The value obtained for the total energy is -5.200 eV per atom. The formation energy comes out at -0.7606 eV/atom. The calculation puts the density of states at the Fermi level at 6.56 states/eV per cell. As for the total magnetization: 0.51 μB per cell.


Density functional theory data (PBE) for NaB7 after structural relaxation.

Geometry as POSCAR:
```
NaB7
1.0
5.668 -0.388 1.295
1.809 3.547 1.102
0.874 -0.241 4.031
Na B
1 7
Direct
0.000 0.000 0.000
0.686 0.711 0.711
0.314 0.289 0.289
0.000 0.500 0.500
0.532 0.532 0.176
0.468 0.468 0.824
0.468 0.824 0.468
0.532 0.176 0.532
```

The value obtained for the total energy is -5.572 eV per atom. The formation energy comes out at 0.4353 eV/atom. The calculation puts the density of states at the Fermi level at 0.76 states/eV per cell. As for the total magnetization: 0.00 μB per cell.


Density functional theory data (PBE) for KZrP2 after structural relaxation.

Geometry as POSCAR:
```
KZrP2
1.0
3.628 0.000 0.000
0.000 2.910 0.017
0.000 2.869 8.050
K P Zr
1 2 1
Direct
0.500 0.750 0.750
0.000 0.952 0.049
0.000 0.548 0.451
0.500 0.250 0.250
```

The value obtained for the total energy is -5.689 eV per atom. The formation energy comes out at -0.5727 eV/atom. The calculation puts the density of states at the Fermi level at 1.52 states/eV per cell. As for the total magnetization: 0.00 μB per cell.


Density functional theory data (PBE) for AcDyCd2Au4 after structural relaxation.

Geometry as POSCAR:
```
AcDyCd2Au4
1.0
-4.506 1.693 -1.122
-1.439 0.256 -4.722
-5.210 -7.587 -1.411
Ac Dy Cd Au
1 1 2 4
Direct
0.000 0.000 0.000
0.500 0.500 0.500
0.757 0.757 0.730
0.243 0.243 0.270
0.390 0.390 0.831
0.873 0.873 0.381
0.127 0.127 0.619
0.610 0.610 0.169
```

The value obtained for the total energy is -3.601 eV per atom. The formation energy comes out at -0.6446 eV/atom. The calculation puts the density of states at the Fermi level at 4.35 states/eV per cell. As for the total magnetization: 0.00 μB per cell.


Density functional theory data (PBE) for CaReBr2 after structural relaxation.

Geometry as POSCAR:
```
CaReBr2
1.0
-9.250 2.199 0.460
-8.132 0.798 4.884
9.242 0.764 -2.149
Re Ca Br
1 1 2
Direct
0.296 0.796 0.500
0.437 0.437 0.000
0.028 0.028 0.000
0.739 0.239 0.500
```

The value obtained for the total energy is -4.399 eV per atom. For the formation energy from raw total energies, the calculation gives 0.05 eV/atom. The calculation puts the density of states at the Fermi level at 1.40 states/eV per cell. As for the total magnetization: 0.00 μB per cell.


Density functional theory data (PBE) for ScMo2Pb after structural relaxation.

Geometry as POSCAR:
```
ScMo2Pb
1.0
5.558 -0.003 0.005
-2.562 4.932 0.005
0.594 0.977 2.767
Mo Pb Sc
2 1 1
Direct
0.000 0.000 0.000
0.500 0.500 0.000
0.500 0.000 0.500
0.000 0.500 0.500
```

The value obtained for the total energy is -7.521 eV per atom. The formation energy comes out at 0.4050 eV/atom. The calculation puts the density of states at the Fermi level at 3.67 states/eV per cell. As for the total magnetization: 0.00 μB per cell.


Density functional theory data (PBE) for CaNiOs3 after structural relaxation.

Geometry as POSCAR:
```
CaNiOs3
1.0
-0.497 4.199 -1.642
-4.181 0.188 1.747
1.685 1.705 3.850
Ni Ca Os
1 1 3
Direct
0.000 0.000 0.000
0.500 0.500 0.500
0.000 0.500 0.000
0.000 0.000 0.500
0.500 0.000 0.000
```

The value obtained for the total energy is -6.838 eV per atom. The formation energy comes out at 1.4569 eV/atom. The calculation puts the density of states at the Fermi level at 7.93 states/eV per cell. As for the total magnetization: 2.30 μB per cell.


Density functional theory data (PBE) for TmZr2Cd after structural relaxation.

Geometry as POSCAR:
```
TmZr2Cd
1.0
3.112 0.000 0.000
1.556 2.695 0.000
1.556 0.898 11.696
Tm Zr Cd
1 2 1
Direct
0.000 0.000 0.000
0.091 0.091 0.727
0.909 0.909 0.273
0.500 0.500 0.500
```

The value obtained for the total energy is -5.365 eV per atom. The formation energy comes out at 0.2558 eV/atom. The calculation puts the density of states at the Fermi level at 5.33 states/eV per cell. As for the total magnetization: 0.00 μB per cell.


Density functional theory data (PBE) for PrSn4Rh5 after structural relaxation.

Geometry as POSCAR:
```
PrSn4Rh5
1.0
5.724 0.000 0.000
0.000 7.596 0.000
0.000 0.000 9.452
Pr Sn Rh
2 8 10
Direct
0.994 0.000 0.000
0.006 0.500 0.500
0.875 0.000 0.664
0.481 0.777 0.000
0.481 0.223 0.000
0.875 0.000 0.336
0.125 0.500 0.164
0.519 0.723 0.500
0.519 0.277 0.500
0.125 0.500 0.836
0.260 0.801 0.746
0.260 0.199 0.746
0.755 0.500 0.000
0.260 0.801 0.254
0.260 0.199 0.254
0.740 0.699 0.246
0.740 0.301 0.246
0.245 0.000 0.500
0.740 0.301 0.754
0.740 0.699 0.754
```

The value obtained for the total energy is -6.114 eV per atom. The formation energy comes out at -0.3591 eV/atom. The calculation puts the density of states at the Fermi level at 14.68 states/eV per cell. As for the total magnetization: 0.00 μB per cell.


Density functional theory data (PBE) for PrTlI after structural relaxation.

Geometry as POSCAR:
```
PrTlI
1.0
-8.474 -1.458 5.071
-2.995 -1.188 -5.346
1.384 -6.059 0.571
I Tl Pr
4 4 4
Direct
0.619 0.000 0.750
0.619 0.500 0.250
0.381 0.000 0.250
0.381 0.500 0.750
0.000 0.250 0.500
0.000 0.250 0.000
0.000 0.750 0.500
0.000 0.750 0.000
0.261 0.500 0.250
0.739 0.000 0.250
0.739 0.500 0.750
0.261 0.000 0.750
```

The value obtained for the total energy is -3.614 eV per atom. For the formation energy from raw total energies, the calculation gives -0.72 eV/atom. The calculation puts the density of states at the Fermi level at 12.10 states/eV per cell. As for the total magnetization: 0.00 μB per cell.


Density functional theory data (PBE) for ErPd5Au2 after structural relaxation.

Geometry as POSCAR:
```
ErPd5Au2
1.0
4.152 0.000 0.000
0.000 5.731 0.000
0.000 0.000 11.432
Er Pd Au
2 10 4
Direct
0.000 0.000 0.500
0.000 0.500 0.000
0.000 0.000 0.000
0.000 0.500 0.500
0.000 0.521 0.751
0.000 0.479 0.249
0.000 0.979 0.251
0.000 0.021 0.749
0.500 0.262 0.876
0.500 0.738 0.124
0.500 0.238 0.376
0.500 0.762 0.624
0.500 0.270 0.629
0.500 0.730 0.371
0.500 0.230 0.129
0.500 0.770 0.871
```

The value obtained for the total energy is -5.132 eV per atom. The formation energy comes out at -0.4971 eV/atom. The calculation puts the density of states at the Fermi level at 7.12 states/eV per cell. As for the total magnetization: 0.00 μB per cell.


Density functional theory data (PBE) for Sm2Er3Sb2 after structural relaxation.

Geometry as POSCAR:
```
Sm2Er3Sb2
1.0
4.282 0.000 0.000
-2.141 6.046 -0.056
0.000 -2.827 8.087
Sm Er Sb
2 3 2
Direct
0.867 0.734 0.211
0.133 0.266 0.789
0.500 0.000 0.000
0.626 0.251 0.446
0.374 0.749 0.554
0.830 0.660 0.801
0.170 0.340 0.199
```

The value obtained for the total energy is -5.124 eV per atom. For the formation energy from raw total energies, the calculation gives -0.64 eV/atom. The calculation puts the density of states at the Fermi level at 7.93 states/eV per cell. As for the total magnetization: 0.00 μB per cell.


Density functional theory data (PBE) for TiPt3O after structural relaxation.

Geometry as POSCAR:
```
TiPt3O
1.0
-3.045 -3.117 -1.678
3.514 -2.929 -0.936
-0.428 -1.873 4.256
O Pt Ti
1 3 1
Direct
0.500 0.500 0.500
0.000 0.500 0.000
0.000 0.000 0.500
0.500 0.000 0.000
0.000 0.000 0.000
```

The value obtained for the total energy is -4.950 eV per atom. For the formation energy from raw total energies, the calculation gives 1.24 eV/atom. The calculation puts the density of states at the Fermi level at 1.35 states/eV per cell. As for the total magnetization: 0.00 μB per cell.


Density functional theory data (PBE) for Pr6GeBr8 after structural relaxation.

Geometry as POSCAR:
```
Pr6GeBr8
1.0
7.088 0.000 2.328
3.162 6.344 2.328
0.119 0.074 11.590
Pr Ge Br
6 1 8
Direct
0.948 0.639 0.157
0.743 0.052 0.843
0.361 0.743 0.843
0.639 0.257 0.157
0.257 0.948 0.157
0.052 0.361 0.843
0.000 0.000 0.000
0.770 0.446 0.676
0.892 0.230 0.324
0.554 0.892 0.324
0.333 0.333 0.000
0.667 0.667 0.000
0.446 0.108 0.676
0.108 0.770 0.676
0.230 0.554 0.324
```

The value obtained for the total energy is -4.603 eV per atom. For the formation energy from raw total energies, the calculation gives -1.49 eV/atom. The calculation puts the density of states at the Fermi level at 6.03 states/eV per cell. As for the total magnetization: 0.00 μB per cell.


Density functional theory data (PBE) for Tl2CdCl after structural relaxation.

Geometry as POSCAR:
```
Tl2CdCl
1.0
4.830 0.000 0.000
0.000 4.830 0.000
2.415 2.415 10.987
Tl Cl Cd
4 2 2
Direct
0.606 0.125 0.250
0.144 0.625 0.250
0.375 0.394 0.750
0.875 0.856 0.750
0.500 0.500 0.000
0.250 0.750 0.500
0.000 0.000 0.000
0.750 0.250 0.500
```

The value obtained for the total energy is -2.115 eV per atom. For the formation energy from raw total energies, the calculation gives -0.24 eV/atom. The calculation puts the density of states at the Fermi level at 3.95 states/eV per cell. As for the total magnetization: 0.00 μB per cell.


Density functional theory data (PBE) for SbSeSN2 after structural relaxation.

Geometry as POSCAR:
```
SbSeSN2
1.0
-0.370 2.010 -3.367
1.587 -3.016 -1.974
-4.444 -1.912 -0.652
Sb S Se N
1 1 1 2
Direct
0.500 0.500 0.500
0.000 0.000 0.500
0.000 0.000 0.000
0.000 0.500 0.000
0.500 0.000 0.000
```

The value obtained for the total energy is -4.276 eV per atom. For the formation energy from raw total energies, the calculation gives 1.40 eV/atom. The calculation puts the density of states at the Fermi level at 3.48 states/eV per cell. As for the total magnetization: 0.19 μB per cell.